No. 1
Ba2NiSb (GGA-PBE, relaxed); space group = Amm2, No. 38
1.0
4.7030 0.0000 0.0000
0.0000 2.5178 5.9314
0.0000 -2.5178 5.9314
Ba Ni Sb
2 1 1
Cartesian
0.0000 0.0000 0.0000
2.3515 0.0000 3.3786
0.0000 0.0000 8.0594
2.3515 0.0000 6.9917

***

No. 2
BaNi4Sb12 (GGA-PBE, relaxed); space group = Im-3, No. 204
1.0
-4.6904 4.6904 4.6904
4.6904 -4.6904 4.6904
4.6904 4.6904 -4.6904
Ba Ni Sb
1 4 12
Cartesian
0.0000 0.0000 0.0000
2.3452 2.3452 -2.3452
2.3452 -2.3452 2.3452
-2.3452 2.3452 2.3452
2.3452 2.3452 2.3452
3.2015 1.5302 0.0000
6.1793 1.5302 0.0000
4.6904 -1.4889 3.1602
3.1602 4.6904 -1.4889
1.5302 0.0000 3.2015
4.6904 1.4889 3.1602
0.0000 3.2015 1.5302
3.1602 4.6904 1.4889
1.5302 0.0000 6.1793
0.0000 6.1793 1.5302
-1.4889 3.1602 4.6904
1.4889 3.1602 4.6904

***

No. 3
Ba2NiSb (GGA-PBE, relaxed); space group = Pmmm, No. 47
1.0
3.7735 0.0000 0.0000
0.0000 4.0065 0.0000
0.0000 0.0000 8.6051
Ba Ni Sb
2 1 1
Cartesian
0.0000 0.0000 1.9154
0.0000 0.0000 6.6898
1.8868 2.0032 0.0000
1.8868 2.0032 4.3026

***

No. 4
Ba2NiSb (GGA-PBE, relaxed); space group = F-43m, No. 216
1.0
0.0000 3.9309 3.9309
3.9309 0.0000 3.9309
3.9309 3.9309 0.0000
Ba Ni Sb
2 1 1
Cartesian
0.0000 0.0000 0.0000
1.9655 1.9655 1.9655
3.9309 3.9309 3.9309
5.8964 5.8964 5.8964

***

No. 5
BaNi3Sb2 (GGA-PBE, relaxed); space group = C2/m, No. 12
1.0
8.3153 -2.1524 0.0000
8.3153 2.1524 0.0000
-3.2126 0.0000 7.1509
Ba Ni Sb
2 6 4
Cartesian
2.2745 0.0000 0.5434
11.1435 0.0000 6.6075
-0.8725 0.0000 2.6695
3.3459 0.0000 3.8373
5.7048 0.0000 2.7662
7.7131 0.0000 4.3847
10.0720 0.0000 3.3136
14.2905 0.0000 4.4814
0.8883 0.0000 4.5551
5.3555 0.0000 5.4990
8.0624 0.0000 1.6519
12.5297 0.0000 2.5958

***

No. 6
Ba2NiSb2 (GGA-PBE, relaxed); space group = P-1, No. 2
1.0
4.4548 0.0000 0.0000
-2.2227 6.3916 0.0000
-2.2193 -2.4828 11.7049
Ba Ni Sb
4 2 4
Cartesian
-1.1092 0.6662 4.3069
-1.1088 4.6840 1.1785
1.1217 -0.7752 10.5264
1.1221 3.2427 7.3980
-1.1130 0.4116 8.0163
1.1259 3.4973 3.6886
-1.1024 4.1915 4.6656
-1.1060 2.0442 9.9187
1.1189 1.8646 1.7862
1.1153 -0.2827 7.0393

***

No. 7
BaNi4Sb4 (GGA-PBE, relaxed); space group = P4_2/n, No. 86
1.0
8.7226 0.0000 0.0000
0.0000 8.7226 0.0000
0.0000 0.0000 5.1709
Ba Ni Sb
2 8 8
Cartesian
2.1807 2.1807 1.2927
6.5420 6.5420 3.8782
0.7121 7.9710 0.8910
0.7516 5.0734 3.4765
3.6097 8.0105 3.4765
3.6492 5.1129 0.8910
5.0734 3.6097 4.2799
5.1129 0.7121 1.6944
7.9710 3.6492 1.6944
8.0105 0.7516 4.2799
0.9071 5.4388 0.9004
1.0775 7.8155 3.4858
3.2839 5.2684 3.4858
3.4542 7.6452 0.9004
5.2684 1.0775 4.2705
5.4388 3.4542 1.6851
7.6452 0.9071 1.6851
7.8155 3.2839 4.2705

***

No. 8
BaNiSbTe2 (GGA-PBE, relaxed); space group = P4/mmm, No. 123
1.0
5.5570 0.0000 0.0000
0.0000 5.5570 0.0000
0.0000 0.0000 4.8065
Ba Ni Sb Te
1 1 1 2
Cartesian
0.0000 0.0000 0.0000
2.7785 2.7785 2.4032
2.7785 2.7785 0.0000
0.0000 2.7785 2.4032
2.7785 0.0000 2.4032

***

How do the records compare in size of the total moment? In the order shown, they have 0.0, 0.0, 0.0, 0.0, 0.0, 0.0, 0.0, 0.0 μB per formula unit.
How do the records compare in E_tot? In the order shown, they have -3.9077, -4.6235, -3.7017, -3.4529, -4.9911, -4.3275, -4.8759, -4.1589 eV/atom.